## CuIr2Rh (PBE-GGA)

Data for crystalline CuIr2Rh at its relaxed geometry. Values from VASP.

The structure in Quantum ESPRESSO input format:
```
&SYSTEM
  ibrav = 0, nat = 4, ntyp = 3
/
ATOMIC_SPECIES
Cu 63.55 Cu.upf
Ir 192.22 Ir.upf
Rh 102.91 Rh.upf
CELL_PARAMETERS angstrom
0.000 3.044 3.044
3.044 0.000 3.044
3.044 3.044 0.000
ATOMIC_POSITIONS crystal
Cu 0.000 0.000 0.000
Ir 0.250 0.250 0.250
Ir 0.750 0.750 0.750
Rh 0.500 0.500 0.500
```

Calculated values
DOS(E_F) in states/eV/atom: 0.99
Total DFT energy (no corrections) in hartree per atom: -0.2554
Polymorph energy (0 for the lowest one) in kJ per mole of atoms: 29.1
SG: Fm-3m (225)
Formation energy from the elements in meV/atom: 344

=====

## CuIr2Rh2 (PBE-GGA)

Data for crystalline CuIr2Rh2 at its relaxed geometry. Values from VASP.

The structure in Quantum ESPRESSO input format:
```
&SYSTEM
  ibrav = 0, nat = 5, ntyp = 3
/
ATOMIC_SPECIES
Cu 63.55 Cu.upf
Ir 192.22 Ir.upf
Rh 102.91 Rh.upf
CELL_PARAMETERS angstrom
-1.800 1.800 6.242
1.800 -1.800 6.242
1.800 1.800 -6.242
ATOMIC_POSITIONS crystal
Cu 0.000 0.000 0.000
Ir 0.250 0.750 0.500
Ir 0.750 0.250 0.500
Rh 0.402 0.402 0.000
Rh 0.598 0.598 0.000
```

Calculated values
DOS(E_F) in states/eV/atom: 0.93
Total DFT energy (no corrections) in hartree per atom: -0.2505
Polymorph energy (0 for the lowest one) in kJ per mole of atoms: 43.0
SG: I4/mmm (139)
Formation energy from the elements in meV/atom: 488

=====

## CuIr3Rh6 (PBE-GGA)

Data for crystalline CuIr3Rh6 at its relaxed geometry. Values from VASP.

The structure in Quantum ESPRESSO input format:
```
&SYSTEM
  ibrav = 0, nat = 10, ntyp = 3
/
ATOMIC_SPECIES
Cu 63.55 Cu.upf
Ir 192.22 Ir.upf
Rh 102.91 Rh.upf
CELL_PARAMETERS angstrom
3.662 -8.368 0.000
3.662 8.368 0.000
0.000 0.000 2.692
ATOMIC_POSITIONS crystal
Cu 0.000 0.000 0.000
Ir 0.000 0.500 0.500
Ir 0.500 0.000 0.500
Ir 0.500 0.500 0.000
Rh 0.139 0.861 0.500
Rh 0.186 0.425 0.000
Rh 0.425 0.186 0.000
Rh 0.575 0.814 0.000
Rh 0.814 0.575 0.000
Rh 0.861 0.139 0.500
```

Calculated values
DOS(E_F) in states/eV/atom: 1.57
Total DFT energy (no corrections) in hartree per atom: -0.2547
SG: Cmmm (65)
Formation energy from the elements in meV/atom: 547

=====

- Which of these has the lowest formation energy from the elements?
  CuIr2Rh

=====

- Which value of formation energy from the elements does entry 1 give?
  344 meV/atom